No. 1
Crystalline Th2GaSi2Ru5 at its relaxed geometry, computed with PBE-GGA.

a = 10.095 Å, b = 10.095 Å, c = 3.360 Å
α = 90.00°, β = 90.00°, γ = 90.00°
Fractional positions:
1 Th 0.176 0.324 0.000
2 Th 0.324 0.824 0.000
3 Th 0.676 0.176 0.000
4 Th 0.824 0.676 0.000
5 Ga 0.000 0.000 0.000
6 Ga 0.500 0.500 0.000
7 Si 0.123 0.623 0.000
8 Si 0.377 0.123 0.000
9 Si 0.623 0.877 0.000
10 Si 0.877 0.377 0.000
11 Ru 0.000 0.500 0.500
12 Ru 0.067 0.787 0.500
13 Ru 0.213 0.067 0.500
14 Ru 0.287 0.567 0.500
15 Ru 0.433 0.287 0.500
16 Ru 0.500 0.000 0.500
17 Ru 0.567 0.713 0.500
18 Ru 0.713 0.433 0.500
19 Ru 0.787 0.933 0.500
20 Ru 0.933 0.213 0.500

## Properties
The value obtained for the raw formation energy is -624 meV/atom. Its magnetic moment is 0.0 Bohr magnetons per cell. Its symmetry is P4/mbm.

=====

No. 2
Crystalline NbCdB3 at its relaxed geometry, computed with PBE-GGA.

a = 4.181 Å, b = 4.181 Å, c = 4.181 Å
α = 90.00°, β = 90.00°, γ = 90.00°
Fractional positions:
1 Nb 0.000 0.000 0.000
2 Cd 0.500 0.500 0.500
3 B 0.000 0.500 0.500
4 B 0.500 0.000 0.500
5 B 0.500 0.500 0.000

## Properties
The relative energy among the computed polymorphs comes out at 0.911 eV/atom. Its magnetic moment is 0.0 Bohr magnetons per cell. Its symmetry is Pm-3m. The value obtained for the formation energy is 2323.7 meV per atom.

=====

No. 3
Crystalline RbCo2AuBr8 at its relaxed geometry, computed with PBE-GGA.

a = 10.674 Å, b = 10.674 Å, c = 10.674 Å
α = 36.67°, β = 36.67°, γ = 36.67°
Fractional positions:
1 Rb 0.000 0.000 0.000
2 Co 0.246 0.246 0.246
3 Co 0.754 0.754 0.754
4 Au 0.500 0.500 0.500
5 Br 0.109 0.444 0.781
6 Br 0.219 0.891 0.556
7 Br 0.324 0.324 0.324
8 Br 0.444 0.781 0.109
9 Br 0.556 0.219 0.891
10 Br 0.676 0.676 0.676
11 Br 0.781 0.109 0.444
12 Br 0.891 0.556 0.219

## Properties
The value obtained for the raw formation energy is -461 meV/atom. Its magnetic moment is 7.5 Bohr magnetons per cell. Its symmetry is R-3.

=====

No. 4
Crystalline CaNiIr2 at its relaxed geometry, computed with PBE-GGA.

a = 4.819 Å, b = 4.819 Å, c = 5.182 Å
α = 100.11°, β = 100.11°, γ = 34.26°
Fractional positions:
1 Ca 0.000 0.000 0.000
2 Ni 0.763 0.763 0.268
3 Ir 0.239 0.239 0.649
4 Ir 0.499 0.499 0.507

## Properties
The relative energy among the computed polymorphs comes out at 0.026 eV/atom. Its magnetic moment is 0.0 Bohr magnetons per cell. Its symmetry is Cm. The value obtained for the formation energy is 41.6 meV per atom.

=====

N(E_F): 0.420 1.146 1.242 0.875 (states/eV/atom)